The following is a PBE calculation of TaMn2AlAg after structural relaxation, from Alexandria.

Summary:
final energy	-6.16	eV/atom
size of the total moment	5.55	μB/cell
ρ	6.4	g/cm3
N(E_F)	2.92	states/eV/cell
energy of formation from the pure elements	1.1986	eV per atom

Unit cell a=4.6525 b=4.6525 c=5.0798 alpha=90.00 beta=90.00 gamma=90.00
Fractional coordinates of all 5 atoms:
Ta: 0.0000 0.0000 0.0000
Mn: 0.0000 0.5000 0.0000
Mn: 0.5000 0.0000 0.0000
Al: 0.0000 0.0000 0.5000
Ag: 0.5000 0.5000 0.5000